[1]
Entry from the Open Quantum Materials Database: a relaxed LaPuCu crystal (PBE).

Properties
energy above the lowest structure with this stoichiometry: 0.000 eV per atom
crystal system: cubic
symmetry: F-43m
DFT formation energy: 47 kJ per mole of atoms

a b c (Å): 4.7466 4.7466 4.7466
angles (deg): 60.00 60.00 60.00
Last column: nearest neighbours and their distance in Å.
Positions (direct):
Cu  0.2500  0.2500  0.2500  4 La 2.91
La  0.0000  0.0000  0.0000  4 Cu 2.91, 4 Pu 2.91
Pu  0.7500  0.7500  0.7500  4 La 2.91

=====

[2]
Entry from the Open Quantum Materials Database: a relaxed LaPuCu crystal (PBE).

Properties
energy above the lowest structure with this stoichiometry: 0.559 eV per atom
crystal system: cubic
symmetry: F-43m
DFT formation energy: 101 kJ per mole of atoms

a b c (Å): 4.7694 4.7694 4.7694
angles (deg): 60.00 60.00 60.00
Last column: nearest neighbours and their distance in Å.
Positions (direct):
Cu  0.0000  0.0000  0.0000  4 La 2.92, 4 Pu 2.92
La  0.2500  0.2500  0.2500  4 Cu 2.92
Pu  0.7500  0.7500  0.7500  4 Cu 2.92

=====

What is the energy above the lowest structure with this stoichiometry in the second record? 0.559 eV per atom

=====

Which of these has the highest DFT formation energy? number 2